{"formula": "K4LiV3F12", "functional": "PBE+U", "state": "optimized geometry", "lattice_angstrom": [[-3.199, -3.587, 5.338], [-3.299, -1.494, -6.203], [6.893, -1.976, -0.418]], "species": ["K", "K", "K", "K", "Li", "V", "V", "V", "F", "F", "F", "F", "F", "F", "F", "F", "F", "F", "F", "F"], "frac_coords": [[0.500, 0.500, 0.500], [0.000, 0.000, 0.500], [0.500, 0.000, 0.000], [0.000, 0.500, 0.000], [0.000, 0.000, 0.000], [0.500, 0.000, 0.500], [0.500, 0.500, 0.000], [0.000, 0.500, 0.500], [0.250, 0.500, 0.750], [0.745, 0.000, 0.745], [0.255, 0.000, 0.255], [0.750, 0.500, 0.250], [0.745, 0.745, 0.000], [0.255, 0.255, 0.000], [0.750, 0.250, 0.500], [0.250, 0.750, 0.500], [0.500, 0.250, 0.750], [0.000, 0.745, 0.745], [0.500, 0.750, 0.250], [0.000, 0.255, 0.255]], "sg": "No. 229", "dft_energy_ev_per_atom": -5.38, "volume_a3_per_cell": 285}